# 1
Here is an optimized crystal structure of La2GaN from Alexandria. Energies are from PBE.

## Properties
Space group: No. 122
ρ (Mg/m³): 5.59
Energy relative to the elements, uncorrected (eV/f.u.): -3.10

Cell: 7.0944 7.0944 8.5317 Å, 90.00 90.00 90.00°
Closest atoms and distances in Å follow each position.
Fractional positions:
La1 0.1635 0.7500 0.1250  2 N 2.37
La2 0.2500 0.1635 0.8750  2 N 2.37
La3 0.2500 0.3365 0.3750  2 N 2.37
La4 0.3365 0.7500 0.6250  2 N 2.37
La5 0.6635 0.2500 0.6250  2 N 2.37
La6 0.7500 0.6635 0.3750  2 N 2.37
La7 0.7500 0.8365 0.8750  2 N 2.37
La8 0.8365 0.2500 0.1250  2 N 2.37
Ga1 0.0000 0.0000 0.5000  4 La 3.16
Ga2 0.0000 0.5000 0.7500  4 La 3.16
Ga3 0.5000 0.0000 0.2500  4 La 3.16
Ga4 0.5000 0.5000 0.0000  4 La 3.16
N1 0.0000 0.0000 0.0000  4 La 2.37
N2 0.0000 0.5000 0.2500  4 La 2.37
N3 0.5000 0.0000 0.7500  4 La 2.37
N4 0.5000 0.5000 0.5000  4 La 2.37


# 2
Here is an optimized crystal structure of La4Ga2N from Alexandria. Energies are from PBE.

## Properties
Space group: No. 12
ρ (Mg/m³): 6.40
Energy relative to the elements, uncorrected (eV/f.u.): -5.10
Excess energy over the best structure of this formula in the dataset (meV/atom): 0.0

Cell: 12.7817 3.8698 8.9569 Å, 90.00 123.87 90.00°
Closest atoms and distances in Å follow each position.
Fractional positions:
La1 0.0835 0.0000 0.3319  1 N 2.54
La2 0.1535 0.5000 0.0653  2 N 2.58
La3 0.3465 0.0000 0.9347  2 N 2.58
La4 0.4165 0.5000 0.6681  1 N 2.54
La5 0.5835 0.5000 0.3319  1 N 2.54
La6 0.6535 0.0000 0.0653  2 N 2.58
La7 0.8465 0.5000 0.9347  2 N 2.58
La8 0.9165 0.0000 0.6681  1 N 2.54
Ga1 0.1173 0.5000 0.6558  1 Ga 2.73
Ga2 0.3827 0.0000 0.3442  1 Ga 2.73
Ga3 0.6173 0.0000 0.6558  1 Ga 2.73
Ga4 0.8827 0.5000 0.3442  1 Ga 2.73
N1 0.0000 0.0000 0.0000  6 La 2.54-2.58
N2 0.5000 0.5000 0.0000  6 La 2.54-2.58


| no. | magnetic moment (μB per atom) |
| --- | --- |
| 1 | 0.00 |
| 2 | 0.00 |